(1)
PBE-GGA Cs3CePr2Te6, optimized geometry; formation energy (no corrections) = -1391.4 meV per atom; DFT total energy = -53.60 eV for the cell shown
1.0
8.170 -0.001 0.001
-4.084 7.076 0.001
-1.362 -2.358 8.946
Pr Te Cs Ce
2 6 3 1
Direct
0.333 0.667 0.000
0.667 0.333 0.000
0.398 0.065 0.195
0.935 0.602 0.805
0.602 0.935 0.805
0.732 0.732 0.196
0.065 0.398 0.195
0.268 0.268 0.804
0.500 0.500 0.500
0.833 0.167 0.500
0.167 0.833 0.500
0.000 0.000 0.000

***

(2)
PBE-GGA CsCePt4, optimized geometry; DFT total energy = -33.65 eV for the cell shown; E_form = -0.45 eV/atom
1.0
-3.182 1.761 -4.259
-5.522 0.619 0.699
-2.250 5.127 0.119
Cs Pt Ce
1 4 1
Direct
0.000 0.000 0.000
0.624 0.624 0.624
0.624 0.127 0.624
0.624 0.624 0.127
0.127 0.624 0.624
0.250 0.250 0.250

***

(3)
PBE-GGA Cs3Ce3PtS8, optimized geometry; formation energy (no corrections) = -1475.4 meV per atom; DFT total energy = -81.55 eV for the cell shown
1.0
-0.160 7.376 2.808
-0.676 -6.316 5.458
8.524 1.649 -3.846
Cs S Ce Pt
3 8 3 1
Direct
0.500 0.500 0.000
0.000 0.500 0.000
0.000 0.000 0.000
0.696 0.392 0.274
0.760 0.949 0.653
0.304 0.608 0.726
0.240 0.051 0.347
0.190 0.949 0.653
0.725 0.451 0.687
0.275 0.549 0.313
0.810 0.051 0.347
0.000 0.500 0.500
0.500 0.000 0.500
0.500 0.500 0.500
0.000 0.000 0.500